Here is a relaxed Pr2AlSi3Ir4 crystal from the Alexandria database. Energies are from PBE.

```
data_Pr2AlSi3Ir4
_chemical_formula_sum 'Pr2 Al1 Si3 Ir4'
_cell_length_a 4.190
_cell_length_b 4.190
_cell_length_c 10.132
_cell_angle_alpha 90.00
_cell_angle_beta 90.00
_cell_angle_gamma 90.00
_space_group_name_H-M_alt 'P -4 m 2'
_space_group_IT_number 115
loop_
_space_group_symop_operation_xyz
'x,y,z'
'y,-x,-z'
'-x,-y,z'
'-y,x,-z'
'-x,y,z'
'-y,-x,-z'
'x,-y,z'
'y,x,-z'
loop_
_atom_site_label
_atom_site_type_symbol
_atom_site_fract_x
_atom_site_fract_y
_atom_site_fract_z
Pr1 Pr 0.000 0.500 0.249
Al1 Al 0.500 0.500 0.000
Si1 Si 0.000 0.000 0.000
Si2 Si 0.000 0.500 0.627
Ir1 Ir 0.000 0.000 0.500
Ir2 Ir 0.000 0.500 0.866
Ir3 Ir 0.500 0.500 0.500
```

Output
Fermi-level density of states = 0.698 states/eV per atom
raw total energy = -75.0 eV for the cell shown
theoretical density = 10.8 g/cm3
formation energy from raw total energies = -9.98 eV/f.u.